## PmPrY2Ho2 (PBE-GGA)

Data for crystalline PmPrY2Ho2 at its relaxed geometry.

a = 6.6829 Å, b = 17.8027 Å, c = 3.4049 Å
α = 90.00°, β = 90.00°, γ = 90.00°
Space group Pnnm (No. 58)
One atom of each set of equivalent atoms:
Pm 0.0000 0.0000 0.0000 (multiplicity 2)
Pr 0.0000 0.5000 0.0000 (multiplicity 2)
Y 0.2277 0.1531 0.5000 (multiplicity 4)
Ho 0.2306 0.3205 0.0000 (multiplicity 4)

Summary:
ΔH_f (0 K) ... 0.29 eV/atom
M_tot ... 0.03 μB per formula unit